[1]
Y2IBr: optimized geometry, PBE.

The structure in CIF format:
```
data_Y2IBr
_cell_length_a 5.259
_cell_length_b 5.259
_cell_length_c 5.259
_cell_angle_alpha 60.00
_cell_angle_beta 60.00
_cell_angle_gamma 60.00
_symmetry_space_group_name_H-M 'P 1'
_symmetry_Int_Tables_number 1
loop_
_symmetry_equiv_pos_as_xyz
'x,y,z'
loop_
_atom_site_label
_atom_site_fract_x
_atom_site_fract_y
_atom_site_fract_z
Y1 0.250 0.250 0.250
Y2 0.750 0.750 0.750
I1 0.000 0.000 0.000
Br1 0.500 0.500 0.500
```

Summary:
- Total magnetic moment: 0.000 μB/cell
- E above lowest polymorph: 0 meV/atom
- Crystal system: cubic
- E: -18.835 eV for the cell shown
- Fermi-level density of states: 1.41 states/eV/cell
- Raw formation energy: -0.671 eV per atom
- Space-group type: No. 225


[2]
NpGaSbAu: optimized geometry, PBE.

The structure in CIF format:
```
data_NpGaSbAu
_cell_length_a 5.074
_cell_length_b 5.074
_cell_length_c 5.074
_cell_angle_alpha 60.00
_cell_angle_beta 60.00
_cell_angle_gamma 60.00
_symmetry_space_group_name_H-M 'P 1'
_symmetry_Int_Tables_number 1
loop_
_symmetry_equiv_pos_as_xyz
'x,y,z'
loop_
_atom_site_label
_atom_site_fract_x
_atom_site_fract_y
_atom_site_fract_z
Np1 0.000 0.000 0.000
Ga1 0.500 0.500 0.500
Sb1 0.750 0.750 0.750
Au1 0.250 0.250 0.250
```

Summary:
- Total magnetic moment: 4.065 μB/cell
- Crystal system: cubic
- E: -23.525 eV for the cell shown
- Fermi-level density of states: 12.93 states/eV/cell
- Raw formation energy: -0.039 eV per atom
- Space-group type: No. 216


[3]
Cr2HgPd2: optimized geometry, PBE.

The structure in CIF format:
```
data_Cr2HgPd2
_cell_length_a 7.483
_cell_length_b 7.483
_cell_length_c 2.806
_cell_angle_alpha 90.00
_cell_angle_beta 90.00
_cell_angle_gamma 90.00
_symmetry_space_group_name_H-M 'P 1'
_symmetry_Int_Tables_number 1
loop_
_symmetry_equiv_pos_as_xyz
'x,y,z'
loop_
_atom_site_label
_atom_site_fract_x
_atom_site_fract_y
_atom_site_fract_z
Cr1 0.088 0.412 0.000
Cr2 0.412 0.912 0.000
Cr3 0.588 0.088 0.000
Cr4 0.912 0.588 0.000
Hg1 0.000 0.000 0.000
Hg2 0.500 0.500 0.000
Pd1 0.198 0.698 0.500
Pd2 0.302 0.198 0.500
Pd3 0.698 0.802 0.500
Pd4 0.802 0.302 0.500
```

Summary:
- Total magnetic moment: 0.000 μB/cell
- Formation energy: 0.240 eV/atom
- E above lowest polymorph: 0 meV/atom
- Crystal system: tetragonal
- E: -57.465 eV for the cell shown
- Fermi-level density of states: 6.00 states/eV/cell
- Space-group type: No. 127


[4]
MgTaCu: optimized geometry, PBE.

The structure in CIF format:
```
data_MgTaCu
_cell_length_a 2.924
_cell_length_b 5.219
_cell_length_c 7.263
_cell_angle_alpha 72.33
_cell_angle_beta 89.96
_cell_angle_gamma 73.77
_symmetry_space_group_name_H-M 'P 1'
_symmetry_Int_Tables_number 1
loop_
_symmetry_equiv_pos_as_xyz
'x,y,z'
loop_
_atom_site_label
_atom_site_fract_x
_atom_site_fract_y
_atom_site_fract_z
Mg1 0.160 0.178 0.112
Mg2 0.840 0.822 0.888
Ta1 0.142 0.217 0.533
Ta2 0.858 0.783 0.467
Cu1 0.464 0.572 0.220
Cu2 0.536 0.428 0.780
```

Summary:
- Total magnetic moment: 0.000 μB/cell
- Formation energy: 0.126 eV/atom
- E above lowest polymorph: 44 meV/atom
- Crystal system: triclinic
- E: -34.332 eV for the cell shown
- Fermi-level density of states: 2.33 states/eV/cell
- Space-group type: No. 2


[5]
BaMn2Pt: optimized geometry, PBE.

The structure in CIF format:
```
data_BaMn2Pt
_cell_length_a 3.531
_cell_length_b 3.531
_cell_length_c 7.337
_cell_angle_alpha 90.00
_cell_angle_beta 90.00
_cell_angle_gamma 90.00
_symmetry_space_group_name_H-M 'P 1'
_symmetry_Int_Tables_number 1
loop_
_symmetry_equiv_pos_as_xyz
'x,y,z'
loop_
_atom_site_label
_atom_site_fract_x
_atom_site_fract_y
_atom_site_fract_z
Ba1 0.000 0.000 0.000
Mn1 0.000 0.000 0.540
Mn2 0.500 0.500 0.338
Pt1 0.500 0.500 0.685
```

Summary:
- Total magnetic moment: 8.546 μB/cell
- Formation energy: 0.206 eV/atom
- Crystal system: tetragonal
- E: -25.479 eV for the cell shown
- Fermi-level density of states: 3.43 states/eV/cell
- Space-group type: No. 99


[6]
LaCdSn6: optimized geometry, PBE.

The structure in CIF format:
```
data_LaCdSn6
_cell_length_a 4.701
_cell_length_b 4.701
_cell_length_c 9.935
_cell_angle_alpha 90.00
_cell_angle_beta 90.00
_cell_angle_gamma 90.00
_symmetry_space_group_name_H-M 'P 1'
_symmetry_Int_Tables_number 1
loop_
_symmetry_equiv_pos_as_xyz
'x,y,z'
loop_
_atom_site_label
_atom_site_fract_x
_atom_site_fract_y
_atom_site_fract_z
La1 0.000 0.000 0.000
Cd1 0.000 0.000 0.500
Sn1 0.000 0.500 0.256
Sn2 0.000 0.500 0.744
Sn3 0.500 0.000 0.256
Sn4 0.500 0.000 0.744
Sn5 0.500 0.500 0.000
Sn6 0.500 0.500 0.500
```

Summary:
- Total magnetic moment: 0.000 μB/cell
- Formation energy: -0.218 eV/atom
- Crystal system: tetragonal
- E: -31.607 eV for the cell shown
- Fermi-level density of states: 3.08 states/eV/cell
- Space-group type: No. 123